(1)
# AcCeCuPt

AcCeCuPt after structural relaxation (PBE, Alexandria via LeMat-Bulk).

- total DFT energy (no corrections) (eV/atom) = -5.544
- energy of formation from the pure elements (eV/atom) = -0.499
- M_tot (μB/cell) = 0.849
- mass density (kg/m³) = 10431
- Fermi-level density of states (states/eV/atom) = 2.0383

a b c (Å): 5.2033 5.2033 5.2033
angles (deg): 60.00 60.00 60.00
With the nearest neighbours (Å) after each atom.
Sites, in units of the cell vectors:
1 Ac 0.7500 0.7500 0.7500  4 Pt 3.19, 4 Cu 3.19
2 Cu 0.0000 0.0000 0.0000  4 Ce 3.19, 4 Ac 3.19
3 Ce 0.2500 0.2500 0.2500  4 Cu 3.19, 4 Pt 3.19
4 Pt 0.5000 0.5000 0.5000  4 Ac 3.19, 4 Ce 3.19


(2)
# Ba2LiAcO4

Ba2LiAcO4 after structural relaxation (PBE, Alexandria via LeMat-Bulk).

- total DFT energy (no corrections) (eV/atom) = -6.144
- uncorrected formation energy (eV per atom) = -2.432
- M_tot (μB/cell) = 0.000
- mass density (kg/m³) = 6086
- Fermi-level density of states (states/eV/atom) = 0.0000

a b c (Å): 3.9308 6.3344 6.5426
angles (deg): 106.48 90.00 90.00
With the nearest neighbours (Å) after each atom.
Sites, in units of the cell vectors:
1 Ba 0.5000 0.0000 0.5000  6 O 2.69-2.87
2 Ba 0.0000 0.5000 0.5000  6 O 2.68-2.74
3 Li 0.0000 0.0000 0.0000  2 O 2.43
4 Ac 0.5000 0.5000 0.0000  6 O 2.47-2.65
5 O 0.5000 0.2753 0.2535  1 Ac 2.47, 3 Ba 2.68-2.69
6 O 0.5000 0.7247 0.7465  1 Ac 2.47, 3 Ba 2.68-2.69
7 O 0.0000 0.2558 0.7846  1 Li 2.43, 2 Ac 2.65
8 O 0.0000 0.7442 0.2154  1 Li 2.43, 2 Ac 2.65


(3)
# SmPdBr6

SmPdBr6 after structural relaxation (PBE, Alexandria via LeMat-Bulk).

- total DFT energy (no corrections) (eV/atom) = -3.420
- uncorrected formation energy (eV per atom) = -0.926
- M_tot (μB/cell) = 0.943
- mass density (kg/m³) = 4893
- Fermi-level density of states (states/eV/atom) = 0.2597

a b c (Å): 6.7551 7.0418 7.2515
angles (deg): 63.76 62.20 57.98
With the nearest neighbours (Å) after each atom.
Sites, in units of the cell vectors:
1 Sm 0.5000 0.5000 0.5000  6 Br 2.83-2.93
2 Pd 0.0000 0.0000 0.0000  6 Br 2.52-2.78
3 Br 0.0796 0.4020 0.7541  1 Pd 2.78, 1 Sm 2.83
4 Br 0.7738 0.0684 0.7658  1 Pd 2.52
5 Br 0.5971 0.2226 0.2410  1 Pd 2.53
6 Br 0.2262 0.9316 0.2342  1 Pd 2.52
7 Br 0.9204 0.5980 0.2459  1 Pd 2.78, 1 Sm 2.83
8 Br 0.4029 0.7774 0.7590  1 Pd 2.53


(4)
# EuIn3

EuIn3 after structural relaxation (PBE, Alexandria via LeMat-Bulk).

- total DFT energy (no corrections) (eV/atom) = -4.988
- energy of formation from the pure elements (eV/atom) = -0.366
- M_tot (μB/cell) = 0.000
- mass density (kg/m³) = 7685
- Fermi-level density of states (states/eV/atom) = 0.3698

a b c (Å): 5.4513 6.7358 6.7399
angles (deg): 119.91 90.00 90.00
With the nearest neighbours (Å) after each atom.
Sites, in units of the cell vectors:
1 Eu 0.2500 0.6667 0.3341  12 In 3.37-3.39
2 Eu 0.7500 0.3333 0.6659  12 In 3.37-3.39
3 In 0.7500 0.8390 0.1607  8 In 3.24-3.50, 4 Eu 3.37-3.39
4 In 0.7500 0.3210 0.1601  8 In 3.24-3.50, 4 Eu 3.37-3.39
5 In 0.7500 0.8402 0.6798  8 In 3.24-3.50, 4 Eu 3.37-3.39
6 In 0.2500 0.1610 0.8392  8 In 3.25-3.49, 4 Eu 3.37-3.39
7 In 0.2500 0.6788 0.8399  8 In 3.24-3.50, 4 Eu 3.37-3.39
8 In 0.2500 0.1599 0.3203  8 In 3.24-3.50, 4 Eu 3.37-3.39


(5)
# MnSiSb2

MnSiSb2 after structural relaxation (PBE, Alexandria via LeMat-Bulk).

- total DFT energy (no corrections) (eV/atom) = -5.594
- uncorrected formation energy (eV per atom) = 0.115
- M_tot (μB/cell) = 0.288
- mass density (kg/m³) = 6875
- Fermi-level density of states (states/eV/atom) = 0.7153

a b c (Å): 3.1395 3.1395 8.0022
angles (deg): 90.00 90.00 90.00
With the nearest neighbours (Å) after each atom.
Sites, in units of the cell vectors:
1 Mn 0.5000 0.5000 0.6860  4 Si 2.42
2 Sb 0.0000 0.0000 0.9176  1 Si 2.81, 4 Mn 2.89, 4 Sb 3.14
3 Sb 0.5000 0.5000 0.3300  1 Mn 2.85, 4 Si 2.92, 4 Sb 3.14
4 Si 0.0000 0.0000 0.5664  4 Mn 2.42


(6)
# LiHoAlCo

LiHoAlCo after structural relaxation (PBE, Alexandria via LeMat-Bulk).

- total DFT energy (no corrections) (eV/atom) = -4.555
- energy of formation from the pure elements (eV/atom) = -0.220
- M_tot (μB/cell) = 0.000
- mass density (kg/m³) = 6600
- Fermi-level density of states (states/eV/atom) = 1.0996

a b c (Å): 4.5097 4.5097 4.5097
angles (deg): 60.00 60.00 60.00
With the nearest neighbours (Å) after each atom.
Sites, in units of the cell vectors:
1 Li 0.0000 0.0000 0.0000  4 Ho 2.76, 4 Al 2.76
2 Co 0.5000 0.5000 0.5000  4 Ho 2.76, 4 Al 2.76
3 Ho 0.2500 0.2500 0.2500  4 Li 2.76, 4 Co 2.76
4 Al 0.7500 0.7500 0.7500  4 Li 2.76, 4 Co 2.76


(7)
# YHo6Tm

YHo6Tm after structural relaxation (PBE, Alexandria via LeMat-Bulk).

- total DFT energy (no corrections) (eV/atom) = -4.592
- energy of formation from the pure elements (eV/atom) = 0.208
- M_tot (μB/cell) = 0.001
- mass density (kg/m³) = 8175
- Fermi-level density of states (states/eV/atom) = 1.7471

a b c (Å): 6.6983 6.5265 6.8523
angles (deg): 76.91 61.26 90.50
With the nearest neighbours (Å) after each atom.
Sites, in units of the cell vectors:
1 Y 0.0000 0.5000 0.0000  2 Tm 3.26, 4 Ho 3.37-3.44
2 Ho 0.0949 0.7719 0.4749  5 Ho 3.26-3.64, 1 Y 3.37, 1 Tm 3.61
3 Ho 0.5749 0.7320 0.5183  6 Ho 3.25-3.63, 1 Tm 3.34
4 Ho 0.4251 0.2680 0.4817  6 Ho 3.25-3.63, 1 Tm 3.34
5 Ho 0.9051 0.2281 0.5251  5 Ho 3.26-3.64, 1 Y 3.37, 1 Tm 3.61
6 Ho 0.5511 0.7513 0.9990  5 Ho 3.25-3.61, 1 Tm 3.41, 1 Y 3.44
7 Ho 0.4489 0.2487 0.0010  5 Ho 3.25-3.61, 1 Tm 3.41, 1 Y 3.44
8 Tm 0.0000 0.0000 0.0000  2 Y 3.26, 6 Ho 3.34-3.61


(8)
# TaFe2OsS

TaFe2OsS after structural relaxation (PBE, Alexandria via LeMat-Bulk).

- total DFT energy (no corrections) (eV/atom) = -6.911
- uncorrected formation energy (eV per atom) = 1.916
- M_tot (μB/cell) = 4.812
- mass density (kg/m³) = 8487
- Fermi-level density of states (states/eV/atom) = 0.8934

a b c (Å): 4.5894 4.7832 4.5894
angles (deg): 90.00 90.00 90.00
With the nearest neighbours (Å) after each atom.
Sites, in units of the cell vectors:
1 S 0.5000 0.5000 0.5000  4 Os 3.25, 8 Fe 3.31
2 Os 0.0000 0.5000 0.0000  2 Ta 2.39
3 Fe 0.0000 0.0000 0.5000  2 Ta 2.29
4 Fe 0.5000 0.0000 0.0000  2 Ta 2.29
5 Ta 0.0000 0.0000 0.0000  4 Fe 2.29, 2 Os 2.39